{"formula": "CdCoPtO6", "functional": "PBE+U", "state": "optimized geometry", "lattice_angstrom": [[5.095, 0.000, 0.000], [-2.547, 4.412, 0.000], [0.000, 0.000, 9.621]], "species": ["Cd", "Cd", "Co", "Co", "Pt", "Pt", "O", "O", "O", "O", "O", "O", "O", "O", "O", "O", "O", "O"], "frac_coords": [[0.000, 0.000, 0.000], [0.000, 0.000, 0.500], [0.667, 0.333, 0.250], [0.333, 0.667, 0.750], [0.333, 0.667, 0.250], [0.667, 0.333, 0.750], [0.643, 0.627, 0.142], [0.985, 0.357, 0.142], [0.357, 0.985, 0.642], [0.015, 0.643, 0.858], [0.373, 0.357, 0.358], [0.985, 0.627, 0.358], [0.627, 0.985, 0.858], [0.643, 0.015, 0.358], [0.015, 0.373, 0.642], [0.373, 0.015, 0.142], [0.627, 0.643, 0.642], [0.357, 0.373, 0.858]], "spacegroup": "P-31c (163)", "final_energy_ev_per_atom": -5.204, "m_tot_mub_per_cell": 5.6}